# YZr2Sc

A relaxed YZr2Sc crystal (PBE, Alexandria).

Results
The value obtained for the total energy is -29.55 eV for the cell shown. Its calculated formation energy is 0.087 eV/atom. As for the theoretical density: 5.2 g cm⁻³. As for the space group: P4/mmm, No. 123. Its crystal system is tetragonal. The relative energy among the computed polymorphs is 0.058 eV/atom. The density of states at the Fermi level comes out at 5.06 states/eV/f.u.

The structure in extended XYZ format:
```
4
Lattice="-3.616 2.396 1.597 -2.047 -3.942 1.279 2.059 0.299 4.214" Properties=species:S:1:pos:R:3 pbc="T T T"
Sc -0.779 1.347 2.905
Y 0.006 -1.822 2.747
Zr 0.000 0.000 0.000
Zr -2.832 -0.773 1.438
```